No. 1
Crystalline Rb2NbCl at its relaxed geometry. Source: the Alexandria database, functional PBE-GGA.

The structure in POSCAR format:
```
Rb2NbCl
1.0
0.000 4.329 4.329
4.329 0.000 4.329
4.329 4.329 0.000
Rb Nb Cl
2 1 1
direct
0.250 0.250 0.250
0.750 0.750 0.750
0.000 0.000 0.000
0.500 0.500 0.500
```

As for the energy relative to the lowest polymorph listed for this composition: 238 meV per atom. Its uncorrected energy is -2.92 eV/atom. As for the symmetry: Fm-3m (225).



No. 2
Crystalline ScNbFe at its relaxed geometry. Source: the Alexandria database, functional PBE-GGA.

The structure in POSCAR format:
```
ScNbFe
1.0
5.656 0.000 0.000
0.000 6.422 0.000
-4.020 0.000 5.766
Sc Nb Fe
4 4 4
direct
0.237 0.176 0.071
0.237 0.324 0.571
0.763 0.676 0.429
0.763 0.824 0.929
0.261 0.652 0.937
0.261 0.848 0.437
0.739 0.152 0.563
0.739 0.348 0.063
0.232 0.523 0.248
0.232 0.977 0.748
0.768 0.023 0.252
0.768 0.477 0.752
```

Its formation energy is 124 meV per atom. As for the energy relative to the lowest polymorph listed for this composition: 191 meV per atom. Its uncorrected energy is -8.16 eV/atom. As for the symmetry: P2_1/c (14).



No. 3
Crystalline ZnCu at its relaxed geometry. Source: the Alexandria database, functional PBE-GGA.

The structure in POSCAR format:
```
ZnCu
1.0
-4.503 4.503 1.368
4.503 -4.503 1.368
4.503 4.503 -1.368
Zn Cu
4 4
direct
0.154 0.154 0.309
0.154 0.846 0.000
0.846 0.154 0.000
0.846 0.846 0.691
0.166 0.500 0.666
0.500 0.166 0.666
0.500 0.834 0.334
0.834 0.500 0.334
```

Its formation energy is -25 meV per atom. Its uncorrected energy is -2.71 eV/atom. As for the symmetry: I4/mmm (139).



no.,total moment (Bohr magnetons per cell)
1,5.6
2,0.0
3,0.0